14
Lattice="7.210 0.025 -0.042 -2.416 6.793 0.042 -2.377 -3.422 5.884" Properties=species:S:1:pos:R:3 comment="Pu8Mn5Ga | Alexandria | GGA-PBE | optimized geometry" ef_mev_per_atom=143 total_magnetization_mub_per_fu=31.8 e_tot_ev_per_atom=-11.538 pbc="T T T"
Ga -1.189 0.836 4.423
Pu 1.505 3.328 1.443
Pu 0.483 0.432 2.050
Pu -1.101 5.096 0.166
Pu 0.375 3.174 5.245
Pu 5.075 -1.912 4.305
Pu 1.526 -0.366 5.184
Pu -2.171 3.368 3.003
Pu 3.972 0.460 2.137
Mn 3.405 5.208 1.563
Mn 0.116 -2.590 5.656
Mn 2.416 -1.699 2.921
Mn 2.356 1.898 3.712
Mn -1.045 2.274 0.836